Entry from the Alexandria database: a relaxed La4Tl2Ru crystal (PBE-GGA).

Unit cell a=5.4147 b=5.4147 c=9.0170 alpha=72.53 beta=72.53 gamma=90.00
Element x y z (fractional)
Tl  0.3705  0.3705  0.2590
La  0.8231  0.8231  0.3537
Tl  0.6295  0.6295  0.7410
La  0.1769  0.1769  0.6463
La  0.5000  0.0000  0.0000
La  0.0000  0.5000  0.0000
Ru  0.0000  0.0000  0.0000

Results
Magnetization: 0.0 μB/f.u.
Energy above the lowest structure with this stoichiometry: 0.074 eV/atom
Energy relative to the elements: -0.2773 eV per atom
DOS(E_F): 6.8 states/eV per cell

Entry from the Alexandria database: a relaxed La4Tl3Ru2 crystal (PBE-GGA).

Unit cell a=6.7586 b=8.8048 c=9.6521 alpha=117.14 beta=86.96 gamma=90.00
Element x y z (fractional)
Tl  0.2500  0.4677  0.0000
La  0.0167  0.6457  0.4085
Tl  0.5978  0.1369  0.8710
Tl  0.4022  0.8631  0.1290
Ru  0.8149  0.9801  0.5732
Ru  0.3149  0.5931  0.5732
Ru  0.1851  0.0199  0.4268
La  0.5167  0.7627  0.4085
La  0.1071  0.0402  0.7638
La  0.9833  0.3543  0.5915
La  0.8929  0.9598  0.2362
Tl  0.7500  0.5323  0.0000
Tl  0.9022  0.2659  0.1290
La  0.6071  0.7237  0.7638
Tl  0.0978  0.7341  0.8710
Ru  0.6851  0.4069  0.4268
La  0.3929  0.2763  0.2362
La  0.4833  0.2373  0.5915

Results
Magnetization: 0.0 μB/f.u.
Energy relative to the elements: -0.3088 eV per atom
DOS(E_F): 12.6 states/eV per cell

Entry from the Alexandria database: a relaxed LaTlRu2 crystal (PBE-GGA).

Unit cell a=5.6567 b=5.6567 c=4.9195 alpha=70.38 beta=70.38 gamma=33.11
Element x y z (fractional)
Ru  0.9683  0.9683  0.9696
Ru  0.2689  0.2689  0.2932
La  0.7410  0.7410  0.7998
Tl  0.5217  0.5217  0.4375

Results
Magnetization: 0.0 μB/f.u.
Energy above the lowest structure with this stoichiometry: 0.012 eV/atom
Energy relative to the elements: 0.1679 eV per atom
DOS(E_F): 2.5 states/eV per cell